Below is crystalline LiIn3Pd at its relaxed geometry, with properties calculated at the PBE level.

Computed properties:
- DFT total energy (eV per atom) = -3.3550
- energy of formation (eV/atom) = -0.29
- excess energy over the best structure of this formula in the dataset (meV per atom) = 8
- crystal system = orthorhombic

Lattice parameters (Å, degrees): 4.484 8.100 5.781 90.00 90.00 90.00
Space group Pmmn (No. 59, origin choice 2)
Unique sites:
1 Li 0.250 0.250 0.049 [2 per cell]
2 In 0.250 0.558 0.717 [4 per cell]
3 In 0.250 0.750 0.219 [2 per cell]
4 Pd 0.250 0.250 0.502 [2 per cell]